[1]
AcCoGe2 | Alexandria via LeMat-Bulk | PBE | relaxed; offset from the most stable computed form = 0.0 meV per atom; electronic total energy = -0.210 hartree per atom; DOS at the Fermi energy = 5.32 states/eV per cell; calculated volume = 20.7 Å³/atom; crystal system = orthorhombic
1.0
4.3530 0.0000 0.0000
0.0000 4.4264 0.0000
0.0000 -2.2132 8.6121
Ac Co Ge
2 2 4
Direct
0.2500 0.8907 0.7814
0.7500 0.1093 0.2186
0.7500 0.3168 0.6336
0.2500 0.6832 0.3664
0.2500 0.2504 0.5007
0.7500 0.7496 0.4993
0.7500 0.4541 0.9083
0.2500 0.5459 0.0917


[2]
Ac4In2Ga | Alexandria via LeMat-Bulk | PBE | relaxed; offset from the most stable computed form = 80.2 meV per atom; electronic total energy = -0.140 hartree per atom; DOS at the Fermi energy = 7.25 states/eV per cell; calculated volume = 37.6 Å³/atom; crystal system = monoclinic
1.0
-3.0476 -0.5227 2.6134
-2.6762 -5.2391 -4.1689
7.9720 -2.7763 5.6054
Ac In Ga
4 2 1
Direct
0.9100 0.2698 0.8200
0.0900 0.7302 0.1800
0.6334 0.2804 0.2668
0.3666 0.7196 0.7332
0.7423 0.8250 0.4846
0.2577 0.1750 0.5154
0.0000 0.0000 0.0000


[3]
LiInMo3 | Alexandria via LeMat-Bulk | PBE | relaxed; offset from the most stable computed form = 1231.9 meV per atom; electronic total energy = -0.185 hartree per atom; DOS at the Fermi energy = 9.48 states/eV per cell; calculated volume = 24.4 Å³/atom; crystal system = cubic
1.0
-1.4114 3.6487 3.0477
-4.7505 -0.9586 -1.0523
-0.1852 -3.2190 3.7680
Mo Li In
3 1 1
Direct
0.0000 0.5000 0.0000
0.0000 0.0000 0.5000
0.5000 0.0000 0.0000
0.5000 0.5000 0.5000
0.0000 0.0000 0.0000


[4]
Pr3Ni5Te12 | Alexandria via LeMat-Bulk | PBE | relaxed; electronic total energy = -0.168 hartree per atom; DOS at the Fermi energy = 71.64 states/eV per cell; ΔE_f (raw) = -0.514 eV/atom; calculated volume = 28.4 Å³/atom; crystal system = cubic
1.0
14.3384 0.0000 0.0000
-4.7795 13.5184 0.0000
-4.7795 -6.7592 11.7072
Pr Ni Te
12 20 48
Direct
0.7500 0.3750 0.1250
0.8750 0.7500 0.1250
0.3750 0.7500 0.6250
0.2500 0.1250 0.3750
0.8750 0.1250 0.2500
0.3750 0.6250 0.2500
0.6250 0.3750 0.7500
0.1250 0.8750 0.7500
0.7500 0.8750 0.6250
0.6250 0.2500 0.3750
0.1250 0.2500 0.8750
0.2500 0.6250 0.8750
0.1250 0.3750 0.2500
0.0000 0.5000 0.0000
0.0000 0.0000 0.0000
0.3750 0.2500 0.1250
0.5000 0.0000 0.5000
0.5000 0.5000 0.0000
0.1250 0.7500 0.3750
0.7500 0.1250 0.8750
0.7500 0.6250 0.3750
0.3750 0.1250 0.7500
0.6250 0.8750 0.2500
0.5000 0.5000 0.5000
0.5000 0.0000 0.0000
0.0000 0.0000 0.5000
0.2500 0.3750 0.6250
0.2500 0.8750 0.1250
0.0000 0.5000 0.5000
0.8750 0.2500 0.6250
0.6250 0.7500 0.8750
0.8750 0.6250 0.7500
0.6996 0.1129 0.0223
0.3227 0.5223 0.4094
0.9777 0.3871 0.3004
0.5223 0.1996 0.1129
0.5867 0.6996 0.6773
0.9777 0.5906 0.1773
0.3227 0.8004 0.4133
0.0906 0.9133 0.1129
0.5906 0.9777 0.6773
0.6996 0.5867 0.1773
0.8004 0.4777 0.3871
0.8227 0.9094 0.0223
0.1129 0.6996 0.5223
0.3871 0.4094 0.0867
0.0867 0.9094 0.3871
0.4133 0.1129 0.5906
0.0867 0.1773 0.1996
0.4777 0.6773 0.0906
0.8227 0.9133 0.3004
0.1129 0.4133 0.0906
0.3871 0.9777 0.8004
0.5906 0.6129 0.4133
0.9094 0.8227 0.5223
0.8004 0.3227 0.9133
0.4094 0.3871 0.5867
0.0906 0.1773 0.4777
0.1996 0.6773 0.0867
0.1773 0.0867 0.6996
0.6129 0.0223 0.1996
0.8871 0.5867 0.9094
0.5223 0.3227 0.9094
0.5867 0.8871 0.4094
0.9133 0.8227 0.8004
0.9133 0.0906 0.6129
0.8871 0.3004 0.4777
0.1773 0.0906 0.9777
0.6129 0.5906 0.9133
0.4094 0.0223 0.3227
0.3004 0.4133 0.8227
0.1996 0.5223 0.6129
0.9094 0.0867 0.8871
0.6773 0.1996 0.5867
0.4777 0.8004 0.8871
0.0223 0.4094 0.8227
0.4133 0.3004 0.3227
0.0223 0.6129 0.6996
0.6773 0.4777 0.5906
0.3004 0.8871 0.9777


[5]
TlGeMo3 | Alexandria via LeMat-Bulk | PBE | relaxed; offset from the most stable computed form = 1398.5 meV per atom; electronic total energy = -0.192 hartree per atom; DOS at the Fermi energy = 6.72 states/eV per cell; calculated volume = 24.7 Å³/atom; crystal system = cubic
1.0
-0.1073 -4.7508 1.4957
2.9779 -1.2604 -3.7898
3.9925 0.8124 2.8669
Tl Ge Mo
1 1 3
Direct
0.0000 0.0000 0.0000
0.5000 0.5000 0.5000
0.0000 0.5000 0.0000
0.0000 0.0000 0.5000
0.5000 0.0000 0.0000


[6]
AgMo2P | Alexandria via LeMat-Bulk | PBE | relaxed; electronic total energy = -0.253 hartree per atom; DOS at the Fermi energy = 4.01 states/eV per cell; calculated volume = 16.9 Å³/atom; crystal system = tetragonal
1.0
3.7595 0.0000 0.0000
0.0000 3.7595 0.0000
1.8797 1.8797 9.5588
P Mo Ag
2 4 2
Direct
0.5000 0.5000 0.0000
0.2500 0.7500 0.5000
0.5818 0.1250 0.2500
0.1682 0.6250 0.2500
0.3750 0.4182 0.7500
0.8750 0.8318 0.7500
0.0000 0.0000 0.0000
0.7500 0.2500 0.5000


[7]
CsTmSn | Alexandria via LeMat-Bulk | PBE | relaxed; electronic total energy = -0.123 hartree per atom; DOS at the Fermi energy = 3.29 states/eV per cell; calculated volume = 50.3 Å³/atom; crystal system = monoclinic
1.0
5.1849 0.0000 0.0000
-2.5924 4.4300 0.6406
0.0000 -1.7644 12.8933
Sn Cs Tm
2 2 2
Direct
0.0023 0.0046 0.8844
0.9977 0.9954 0.1156
0.3376 0.6752 0.6928
0.6624 0.3248 0.3072
0.6678 0.3356 0.9445
0.3322 0.6644 0.0555


[8]
UGa5Ru | Alexandria via LeMat-Bulk | PBE | relaxed; electronic total energy = -0.200 hartree per atom; DOS at the Fermi energy = 4.71 states/eV per cell; calculated volume = 18.3 Å³/atom; crystal system = tetragonal
1.0
4.3578 0.0000 0.0000
0.0000 4.3578 0.0000
0.0000 0.0000 6.7441
U Ga Ru
1 5 1
Direct
0.0000 0.0000 0.0000
0.5000 0.5000 0.0000
0.5000 0.0000 0.6986
0.0000 0.5000 0.6986
0.5000 0.0000 0.3014
0.0000 0.5000 0.3014
0.0000 0.0000 0.5000


[9]
Tb7Al5Cd | Alexandria via LeMat-Bulk | PBE | relaxed; electronic total energy = -0.155 hartree per atom; DOS at the Fermi energy = 10.81 states/eV per cell; calculated volume = 25.6 Å³/atom; crystal system = orthorhombic
1.0
6.3132 0.0025 0.0026
3.1596 7.2662 0.2858
3.1596 0.2623 7.2671
Tb Al Cd
7 5 1
Direct
0.6071 0.3923 0.3923
0.2460 0.7540 0.7540
0.0200 0.2949 0.6646
0.0200 0.6646 0.2949
0.2786 0.2213 0.2213
0.5261 0.8029 0.1458
0.5261 0.1458 0.8029
0.5483 0.9870 0.4775
0.9877 0.9866 0.4772
0.5483 0.4775 0.9870
0.9877 0.4772 0.9866
0.7758 0.7244 0.7244
0.9283 0.0716 0.0716


[10]
Ta2CdAg | Alexandria via LeMat-Bulk | PBE | relaxed; electronic total energy = -0.240 hartree per atom; DOS at the Fermi energy = 3.67 states/eV per cell; calculated volume = 18.6 Å³/atom; crystal system = orthorhombic
1.0
5.7747 0.0367 0.0511
3.0599 4.8975 -0.0511
-4.0069 -3.2018 2.6540
Cd Ag Ta
1 1 2
Direct
0.2500 0.7500 0.5000
0.7500 0.2500 0.5000
0.9967 0.9967 0.0000
0.5033 0.5033 0.0000


[11]
RbPtW2 | Alexandria via LeMat-Bulk | PBE | relaxed; offset from the most stable computed form = 0.0 meV per atom; electronic total energy = -0.244 hartree per atom; DOS at the Fermi energy = 12.98 states/eV per cell; calculated volume = 28.4 Å³/atom; crystal system = tetragonal
1.0
-1.7835 -3.7415 -2.7516
-1.4058 -2.3744 4.1397
-9.7651 1.1164 0.3137
Rb W Pt
2 4 2
Direct
0.5000 0.5000 0.0000
0.2500 0.7500 0.5000
0.8945 0.1250 0.2500
0.8555 0.6250 0.2500
0.3750 0.1055 0.7500
0.8750 0.1445 0.7500
0.0000 0.0000 0.0000
0.7500 0.2500 0.5000


[12]
Cs3Sr2CeO6 | Alexandria via LeMat-Bulk | PBE | relaxed; electronic total energy = -0.208 hartree per atom; DOS at the Fermi energy = 12.91 states/eV per cell; ΔE_f (raw) = -2.189 eV/atom; calculated volume = 21.1 Å³/atom; crystal system = monoclinic
1.0
-0.7807 -1.0550 6.3848
-1.7740 -4.5750 -4.2907
7.1476 -0.8622 -0.3808
Cs Sr Ce O
3 2 1 6
Direct
0.1685 0.8315 0.5000
0.8315 0.1685 0.5000
0.5000 0.5000 0.5000
0.3337 0.6663 0.0000
0.6663 0.3337 0.0000
0.0000 0.0000 0.0000
0.9416 0.6438 0.8264
0.7605 0.7605 0.1781
0.0584 0.3562 0.1736
0.6438 0.9416 0.8264
0.2395 0.2395 0.8219
0.3562 0.0584 0.1736


[13]
OsPdSN | Alexandria via LeMat-Bulk | PBE | relaxed; offset from the most stable computed form = 0.0 meV per atom; electronic total energy = -0.259 hartree per atom; DOS at the Fermi energy = 1.32 states/eV per cell; ΔE_f (raw) = 0.177 eV/atom; calculated volume = 16.5 Å³/atom; crystal system = orthorhombic
1.0
3.7352 0.0000 0.0000
0.0000 3.3814 0.0000
0.0000 0.0000 10.4302
Os Pd S N
2 2 2 2
Direct
0.5000 0.0000 0.5461
0.5000 0.5000 0.0461
0.0000 0.0000 0.7574
0.0000 0.5000 0.2574
0.5000 0.0000 0.8986
0.5000 0.5000 0.3986
0.0000 0.0000 0.5604
0.0000 0.5000 0.0604


[14]
LiCu2Ir | Alexandria via LeMat-Bulk | PBE | relaxed; offset from the most stable computed form = 116.6 meV per atom; electronic total energy = -0.173 hartree per atom; DOS at the Fermi energy = 2.03 states/eV per cell; calculated volume = 13.2 Å³/atom; crystal system = orthorhombic
1.0
2.6003 0.0290 0.0000
-1.1479 2.3334 0.0000
0.0000 0.0000 8.6788
Cu Ir Li
2 1 1
Direct
0.0000 0.0000 0.0062
0.5000 0.5000 0.2441
0.0000 0.0000 0.4999
0.5000 0.5000 0.7498


[15]
ErZn10Cu2 | Alexandria via LeMat-Bulk | PBE | relaxed; electronic total energy = -0.079 hartree per atom; DOS at the Fermi energy = 5.09 states/eV per cell; calculated volume = 15.3 Å³/atom; crystal system = triclinic
1.0
-0.9099 -4.4004 -2.3890
4.3649 -1.1685 -5.0045
3.3347 -5.2093 2.7707
Er Zn Cu
1 10 2
Direct
0.0000 0.0000 0.0000
0.3512 0.6426 0.6572
0.6488 0.3574 0.3428
0.9940 0.3576 0.6575
0.0060 0.6424 0.3425
0.0000 0.0000 0.5000
0.5000 0.0000 0.5000
0.2838 0.2203 0.2123
0.7162 0.7797 0.7877
0.5037 0.7792 0.2127
0.4963 0.2208 0.7873
0.0000 0.5000 0.0000
0.5000 0.5000 0.0000


[16]
PmHoEr2As4 | Alexandria via LeMat-Bulk | PBE | relaxed; electronic total energy = -0.226 hartree per atom; DOS at the Fermi energy = 0.94 states/eV per cell; calculated volume = 24.8 Å³/atom; crystal system = monoclinic
1.0
-1.8761 3.3386 1.5444
-5.9245 -1.6459 -3.6388
-4.1699 -4.1976 4.0088
Pm Ho Er As
1 1 2 4
Direct
0.5000 0.5000 0.0000
0.0000 0.5000 0.5000
0.0000 0.0000 0.0000
0.5000 0.0000 0.5000
0.0000 0.7569 0.7438
0.0000 0.2431 0.2562
0.5000 0.7541 0.2524
0.5000 0.2459 0.7476


[17]
PuSn3Pd12 | Alexandria via LeMat-Bulk | PBE | relaxed; electronic total energy = -0.222 hartree per atom; DOS at the Fermi energy = 19.39 states/eV per cell; calculated volume = 16.8 Å³/atom; crystal system = tetragonal
1.0
-1.2120 -2.9157 2.5704
0.9057 -2.8301 -2.7834
15.0798 -1.0244 5.9484
Pu Sn Pd
1 3 12
Direct
0.0000 0.0000 0.0000
0.0000 0.0000 0.2540
0.0000 0.0000 0.5000
0.0000 0.0000 0.7460
0.5000 0.5000 0.0000
0.5000 0.5000 0.2538
0.5000 0.5000 0.5000
0.5000 0.5000 0.7462
0.5000 0.0000 0.1299
0.5000 0.0000 0.3767
0.5000 0.0000 0.6233
0.5000 0.0000 0.8701
0.0000 0.5000 0.1299
0.0000 0.5000 0.3767
0.0000 0.5000 0.6233
0.0000 0.5000 0.8701


[18]
Tb2Y5Tm12 | Alexandria via LeMat-Bulk | PBE | relaxed; offset from the most stable computed form = 0.0 meV per atom; electronic total energy = -0.183 hartree per atom; DOS at the Fermi energy = 27.39 states/eV per cell; calculated volume = 30.8 Å³/atom; crystal system = triclinic
1.0
-1.7689 0.4866 5.8113
-8.9230 -5.5077 -1.1770
11.9517 -3.1458 2.8084
Tb Y Tm
2 5 12
Direct
0.5805 0.8437 0.8169
0.4195 0.1563 0.1831
0.2634 0.4732 0.5530
0.1593 0.6841 0.1310
0.0000 0.0000 0.5000
0.8407 0.3159 0.8690
0.7366 0.5268 0.4470
0.9464 0.1050 0.2890
0.1049 0.7895 0.9208
0.6315 0.7375 0.0261
0.2098 0.5781 0.3407
0.6826 0.6322 0.2368
0.5243 0.9472 0.6049
0.4757 0.0528 0.3951
0.7902 0.4219 0.6593
0.3174 0.3678 0.7632
0.8951 0.2105 0.0792
0.3685 0.2625 0.9739
0.0536 0.8950 0.7110


[19]
Ba2LiTlF6 | Alexandria via LeMat-Bulk | PBE | relaxed; electronic total energy = -0.179 hartree per atom; DOS at the Fermi energy = 0.00 states/eV per cell; ΔE_f (raw) = -2.948 eV/atom; calculated volume = 17.4 Å³/atom; crystal system = cubic
1.0
6.2699 -0.0005 0.0011
0.0003 6.2687 0.0000
3.1358 3.1341 4.4341
Ba Li Tl F
2 1 1 6
Direct
0.2500 0.7500 0.5000
0.7500 0.2500 0.5000
0.0000 0.0000 0.0000
0.5000 0.5000 0.0000
0.2215 0.7786 0.0000
0.7786 0.7785 0.0000
0.2215 0.2215 0.5571
0.7785 0.2214 0.0000
0.2214 0.2215 0.0000
0.7785 0.7785 0.4429


[20]
LaBeTc3 | Alexandria via LeMat-Bulk | PBE | relaxed; offset from the most stable computed form = 0.0 meV per atom; electronic total energy = -0.272 hartree per atom; DOS at the Fermi energy = 8.27 states/eV per cell; calculated volume = 17.1 Å³/atom; crystal system = cubic
1.0
-3.8614 1.6165 -1.3752
0.7391 -1.6522 -4.0173
-1.9895 -3.7512 1.1768
Be Tc La
1 3 1
Direct
0.0000 0.0000 0.0000
0.0000 0.5000 0.0000
0.0000 0.0000 0.5000
0.5000 0.0000 0.0000
0.5000 0.5000 0.5000